(1)
DFT (PBE-GGA) results for crystalline Ta4Cr3Ru at its relaxed geometry.

Lattice parameters (Å, degrees): 3.1068 4.4343 8.8056 90.00 90.00 90.00
With the nearest neighbours (Å) after each atom.
Fractional coordinates of all 8 atoms:
Cr 0.5000 0.0000 0.2499  8 Ta 2.69-2.71
Cr 0.5000 0.5000 0.5000  8 Ta 2.65-2.71
Cr 0.5000 0.0000 0.7501  8 Ta 2.69-2.71
Ru 0.5000 0.5000 0.0000  8 Ta 2.71-2.74
Ta 0.0000 0.0000 0.5000  8 Cr 2.70-2.71
Ta 0.0000 0.5000 0.7436  6 Cr 2.65-2.71, 2 Ru 2.74
Ta 0.0000 0.0000 0.0000  4 Cr 2.69, 4 Ru 2.71
Ta 0.0000 0.5000 0.2564  6 Cr 2.65-2.71, 2 Ru 2.74

Values from the calculation:
Space group = Pmmm, No. 47
Energy of formation from the pure elements = -0.174 eV/atom


(2)
DFT (PBE-GGA) results for crystalline Sr2Al2Zn at its relaxed geometry.

Lattice parameters (Å, degrees): 4.4736 4.4548 7.3839 107.56 90.00 90.00
With the nearest neighbours (Å) after each atom.
Fractional coordinates of all 5 atoms:
Sr 0.0000 0.6843 0.3685  4 Zn 3.32, 6 Al 3.36-3.61, 1 Sr 3.49
Sr 0.0000 0.9325 0.8649  8 Al 3.32-3.60, 2 Zn 3.36, 1 Sr 3.49
Al 0.5000 0.3090 0.6179  1 Al 2.77, 1 Zn 2.79
Al 0.5000 0.5059 0.0118  2 Zn 2.67, 1 Al 2.77
Zn 0.5000 0.1105 0.2209  3 Al 2.67-2.79

Values from the calculation:
Space group = Amm2, No. 38
Energy of formation from the pure elements = -0.132 eV/atom


(3)
DFT (PBE-GGA) results for crystalline LaNpAl4 at its relaxed geometry.

Lattice parameters (Å, degrees): 5.6246 5.6246 5.6246 60.00 60.00 60.00
With the nearest neighbours (Å) after each atom.
Fractional coordinates of all 6 atoms:
Np 0.0000 0.0000 0.0000  12 Al 3.30, 4 La 3.44
Al 0.6259 0.6259 0.1223  6 Al 2.79-2.83
Al 0.6259 0.1223 0.6259  6 Al 2.79-2.83
Al 0.6259 0.6259 0.6259  6 Al 2.79-2.83
Al 0.1223 0.6259 0.6259  6 Al 2.79-2.83
La 0.2500 0.2500 0.2500  12 Al 3.30, 4 Np 3.44

Values from the calculation:
Space group = F-43m, No. 216
Energy of formation from the pure elements = -0.247 eV/atom


(4)
DFT (PBE-GGA) results for crystalline HfCuNiI2 at its relaxed geometry.

Lattice parameters (Å, degrees): 5.1079 4.8885 5.1079 90.00 90.00 90.00
With the nearest neighbours (Å) after each atom.
Fractional coordinates of all 5 atoms:
I 0.0000 0.0000 0.5000  2 Ni 2.55
I 0.5000 0.0000 0.0000  2 Ni 2.55
Ni 0.0000 0.0000 0.0000  2 Hf 2.44, 4 I 2.55
Hf 0.0000 0.5000 0.0000  2 Ni 2.44
Cu 0.5000 0.5000 0.5000  8 I 3.54, 4 Hf 3.61

Values from the calculation:
Formation energy from raw total energies = 0.7363 eV/atom
Space group = P4/mmm, No. 123


(5)
DFT (PBE-GGA) results for crystalline Dy12Tm6Sc at its relaxed geometry.

Lattice parameters (Å, degrees): 8.4274 8.4274 8.4274 88.51 88.51 88.51
With the nearest neighbours (Å) after each atom.
Fractional coordinates of all 19 atoms:
Dy 0.7786 0.5399 0.4359  3 Tm 3.27-3.41, 6 Dy 3.27-3.58
Dy 0.4359 0.7786 0.5399  3 Tm 3.27-3.41, 6 Dy 3.27-3.58
Dy 0.5399 0.4359 0.7786  3 Tm 3.27-3.41, 6 Dy 3.27-3.58
Dy 0.2214 0.4601 0.5641  3 Tm 3.27-3.41, 6 Dy 3.27-3.58
Dy 0.5641 0.2214 0.4601  3 Tm 3.27-3.41, 6 Dy 3.27-3.58
Dy 0.4601 0.5641 0.2214  3 Tm 3.27-3.41, 6 Dy 3.27-3.58
Dy 0.0131 0.1954 0.3580  4 Dy 3.41-3.53, 4 Tm 3.45-3.66, 1 Sc 3.48
Dy 0.8046 0.6420 0.9869  4 Dy 3.41-3.53, 4 Tm 3.45-3.66, 1 Sc 3.48
Dy 0.6420 0.9869 0.8046  4 Dy 3.41-3.53, 4 Tm 3.45-3.66, 1 Sc 3.48
Dy 0.9869 0.8046 0.6420  4 Dy 3.41-3.53, 4 Tm 3.45-3.66, 1 Sc 3.48
Dy 0.1954 0.3580 0.0131  4 Dy 3.41-3.53, 4 Tm 3.45-3.66, 1 Sc 3.48
Dy 0.3580 0.0131 0.1954  4 Dy 3.41-3.53, 4 Tm 3.45-3.66, 1 Sc 3.48
Tm 0.7420 0.9049 0.2996  6 Dy 3.27-3.51, 1 Sc 3.38, 2 Tm 3.41
Tm 0.7004 0.2580 0.0951  6 Dy 3.27-3.51, 1 Sc 3.38, 2 Tm 3.41
Tm 0.0951 0.7004 0.2580  6 Dy 3.27-3.51, 1 Sc 3.38, 2 Tm 3.41
Tm 0.2580 0.0951 0.7004  6 Dy 3.27-3.51, 1 Sc 3.38, 2 Tm 3.41
Tm 0.2996 0.7420 0.9049  6 Dy 3.27-3.51, 1 Sc 3.38, 2 Tm 3.41
Tm 0.9049 0.2996 0.7420  6 Dy 3.27-3.51, 1 Sc 3.38, 2 Tm 3.41
Sc 0.0000 0.0000 0.0000  6 Tm 3.38, 6 Dy 3.48

Values from the calculation:
Space group = R-3, No. 148
Energy of formation from the pure elements = 0.158 eV/atom
Excess energy over the best structure of this formula in the dataset = 0.00 eV per formula unit


(6)
DFT (PBE-GGA) results for crystalline AcEuAlSi at its relaxed geometry.

Lattice parameters (Å, degrees): 5.3915 5.3915 5.3915 60.00 60.00 60.00
With the nearest neighbours (Å) after each atom.
Fractional coordinates of all 4 atoms:
Eu 0.0000 0.0000 0.0000  4 Si 3.30, 4 Al 3.30
Ac 0.5000 0.5000 0.5000  4 Al 3.30, 4 Si 3.30
Si 0.7500 0.7500 0.7500  4 Ac 3.30, 4 Eu 3.30
Al 0.2500 0.2500 0.2500  4 Ac 3.30, 4 Eu 3.30

Values from the calculation:
Formation energy from raw total energies = -0.2454 eV/atom
Space group = F-43m, No. 216


(7)
DFT (PBE-GGA) results for crystalline CdGaRh2 at its relaxed geometry.

Lattice parameters (Å, degrees): 2.9347 2.9347 8.6320 80.23 80.23 59.93
With the nearest neighbours (Å) after each atom.
Fractional coordinates of all 4 atoms:
Cd 0.4996 0.4996 0.5002  6 Rh 2.88, 6 Cd 2.93
Ga 0.6668 0.6668 0.9999  6 Rh 2.55
Rh 0.0748 0.0748 0.7748  3 Ga 2.55
Rh 0.2587 0.2587 0.2251  3 Ga 2.55

Values from the calculation:
Space group = R3m, No. 160
Energy of formation from the pure elements = -0.293 eV/atom


(8)
DFT (PBE-GGA) results for crystalline InAgAu at its relaxed geometry.

Lattice parameters (Å, degrees): 5.1660 5.1660 5.1660 138.80 138.65 59.79
With the nearest neighbours (Å) after each atom.
Fractional coordinates of all 3 atoms:
Au 0.6650 0.6650 0.0000  5 Ag 2.96-3.02, 5 In 2.98
Ag 0.0027 0.0027 0.0000  5 In 2.95-2.99, 5 Au 2.96-3.02
In 0.3324 0.3324 0.0000  5 Ag 2.95-2.99, 5 Au 2.98

Values from the calculation:
Space group = Imm2, No. 44
Energy of formation from the pure elements = -0.106 eV/atom
Excess energy over the best structure of this formula in the dataset = 0.00 eV per formula unit


(9)
DFT (PBE-GGA) results for crystalline Pr12Sm7Ho at its relaxed geometry.

Lattice parameters (Å, degrees): 6.3550 11.6187 11.6187 116.75 100.51 100.51
With the nearest neighbours (Å) after each atom.
Fractional coordinates of all 20 atoms:
Pr 0.0897 0.5889 0.1781  2 Sm 3.38-3.39, 3 Pr 3.40-3.52
Pr 0.0884 0.1781 0.5892  2 Sm 3.38-3.39, 3 Pr 3.40-3.52
Pr 0.5811 0.6459 0.0004  1 Pr 3.35, 4 Sm 3.37-3.65
Pr 0.4193 0.0004 0.3545  1 Pr 3.35, 4 Sm 3.37-3.65
Pr 0.4992 0.4108 0.5889  2 Sm 3.38-3.39, 3 Pr 3.40-3.52
Pr 0.0648 0.6455 0.6459  1 Pr 3.35, 4 Sm 3.37-3.65
Pr 0.9352 0.3545 0.3541  1 Pr 3.35, 4 Sm 3.37-3.65
Pr 0.5008 0.5892 0.4111  2 Sm 3.38-3.39, 3 Pr 3.40-3.52
Pr 0.5807 0.9996 0.6455  1 Pr 3.35, 4 Sm 3.37-3.65
Pr 0.4189 0.3541 0.9996  1 Pr 3.35, 4 Sm 3.37-3.65
Pr 0.9116 0.8219 0.4108  2 Sm 3.38-3.39, 3 Pr 3.40-3.52
Pr 0.9103 0.4111 0.8219  2 Sm 3.38-3.39, 3 Pr 3.40-3.52
Sm 0.1228 0.7523 0.0004  1 Ho 3.12, 4 Pr 3.37-3.44, 1 Sm 3.39
Sm 0.8776 0.0004 0.2481  1 Ho 3.12, 4 Pr 3.37-3.44, 1 Sm 3.39
Sm 0.6295 0.7519 0.7523  1 Ho 3.12, 4 Pr 3.37-3.44, 1 Sm 3.39
Sm 0.5000 0.0000 0.0000  2 Ho 3.18, 6 Sm 3.39
Sm 0.3705 0.2481 0.2477  1 Ho 3.12, 4 Pr 3.37-3.44, 1 Sm 3.39
Sm 0.1224 0.9996 0.7519  1 Ho 3.12, 4 Pr 3.37-3.44, 1 Sm 3.39
Sm 0.8772 0.2477 0.9996  1 Ho 3.12, 4 Pr 3.37-3.44, 1 Sm 3.39
Ho 0.0000 0.0000 0.0000  8 Sm 3.12-3.18

Values from the calculation:
Space group = R-3m, No. 166
Energy of formation from the pure elements = 0.212 eV/atom
Excess energy over the best structure of this formula in the dataset = 0.00 eV per formula unit


(10)
DFT (PBE-GGA) results for crystalline Sr3NiBr at its relaxed geometry.

Lattice parameters (Å, degrees): 4.1533 9.9124 9.2570 110.94 90.00 90.00
With the nearest neighbours (Å) after each atom.
Fractional coordinates of all 10 atoms:
Sr 0.2500 0.6240 0.3071  3 Ni 3.10, 3 Br 3.42-3.43
Sr 0.7500 0.3760 0.6929  3 Ni 3.10, 3 Br 3.42-3.43
Sr 0.2500 0.0230 0.7054  2 Br 3.74, 1 Ni 3.94, 7 Sr 3.99-4.15
Sr 0.7500 0.2679 0.0733  3 Ni 3.02-3.10
Sr 0.7500 0.9770 0.2946  2 Br 3.74, 1 Ni 3.94, 7 Sr 3.99-4.15
Sr 0.2500 0.7321 0.9267  3 Ni 3.02-3.10
Ni 0.7500 0.5617 0.0432  2 Ni 2.40
Ni 0.2500 0.4383 0.9568  2 Ni 2.40
Br 0.7500 0.6901 0.6196  7 Sr 3.42-3.74
Br 0.2500 0.3099 0.3804  7 Sr 3.42-3.74

Values from the calculation:
Formation energy from raw total energies = -0.5955 eV/atom
Space group = P2_1/m, No. 11
Excess energy over the best structure of this formula in the dataset = 0.00 eV per formula unit


(11)
DFT (PBE-GGA) results for crystalline AlAg14Au at its relaxed geometry.

Lattice parameters (Å, degrees): 5.8636 5.8636 9.5866 90.00 90.00 120.51
With the nearest neighbours (Å) after each atom.
Fractional coordinates of all 16 atoms:
Al 0.0399 0.9601 0.5000  10 Ag 2.90-2.94, 2 Au 2.91
Ag 0.2082 0.7918 0.0000  12 Ag 2.91-2.95
Ag 0.7093 0.2907 0.0000  12 Ag 2.91-2.96
Ag 0.0414 0.4593 0.5000  8 Ag 2.91-2.95, 2 Al 2.92-2.94, 2 Au 2.92-2.94
Ag 0.2084 0.2890 0.0000  12 Ag 2.89-2.95
Ag 0.5407 0.9586 0.5000  8 Ag 2.91-2.95, 2 Al 2.92-2.94, 2 Au 2.92-2.94
Ag 0.7110 0.7916 0.0000  12 Ag 2.89-2.95
Ag 0.3722 0.1232 0.7474  10 Ag 2.88-2.96, 1 Al 2.91, 1 Au 2.92
Ag 0.3722 0.1232 0.2526  10 Ag 2.88-2.96, 1 Al 2.91, 1 Au 2.92
Ag 0.8768 0.6278 0.7474  10 Ag 2.88-2.96, 1 Al 2.91, 1 Au 2.92
Ag 0.8768 0.6278 0.2526  10 Ag 2.88-2.96, 1 Al 2.91, 1 Au 2.92
Ag 0.3749 0.6251 0.7531  11 Ag 2.91-2.95, 1 Au 2.95
Ag 0.3749 0.6251 0.2469  11 Ag 2.91-2.95, 1 Au 2.95
Ag 0.8765 0.1235 0.7478  1 Al 2.90, 11 Ag 2.91-2.96
Ag 0.8765 0.1235 0.2522  1 Al 2.90, 11 Ag 2.91-2.96
Au 0.5404 0.4596 0.5000  2 Al 2.91, 10 Ag 2.92-2.95

Values from the calculation:
Space group = Amm2, No. 38
Energy of formation from the pure elements = -0.010 eV/atom


(12)
DFT (PBE-GGA) results for crystalline RbHf2BeSb at its relaxed geometry.

Lattice parameters (Å, degrees): 4.9341 5.1230 4.9341 90.00 90.00 90.00
With the nearest neighbours (Å) after each atom.
Fractional coordinates of all 5 atoms:
Sb 0.0000 0.5000 0.0000  2 Be 2.56
Hf 0.0000 0.0000 0.5000  2 Be 2.47
Hf 0.5000 0.0000 0.0000  2 Be 2.47
Rb 0.5000 0.5000 0.5000  4 Sb 3.49, 8 Hf 3.56
Be 0.0000 0.0000 0.0000  4 Hf 2.47, 2 Sb 2.56

Values from the calculation:
Formation energy from raw total energies = 0.8050 eV/atom
Space group = P4/mmm, No. 123